[1]
First-principles (GGA-PBEsol) data for crystalline Ti7Al2O15 at its relaxed geometry, as listed in Alexandria via LeMat-Bulk.

Computed properties:
The value obtained for the raw formation energy is -2.9966 eV per atom. The final energy comes out at -0.332 Ha/atom.

Cell and atoms, written as POSCAR:
```
Ti7Al2O15
1.0
-0.9185 1.3852 -2.4452
-0.6716 -8.6422 -2.8562
-8.6361 0.8653 3.7342
Ti Al O
7 2 15
Cartesian
-6.7060 -7.2341 -1.5793
-3.5202 0.8425 0.0121
-6.4730 -3.7137 -1.4599
-3.7532 -2.6779 -0.1073
-8.9568 -4.2894 0.9344
-1.2694 -2.1022 -2.5016
0.0000 0.0000 0.0000
-3.6219 -4.5127 -2.9835
-6.6043 -1.8789 1.4163
-5.7277 -3.0841 0.4043
-4.4985 -3.3075 -1.9715
-6.6948 -0.3966 0.5026
-3.5314 -5.9950 -2.0698
-8.2924 -2.3926 1.7594
-1.9338 -3.9990 -3.3266
-9.5378 -5.9076 0.2359
-1.8639 0.0413 0.7235
-8.3623 -6.4329 -2.2907
-2.0213 -2.8103 -0.8328
-8.2049 -3.5813 -0.7344
-4.1489 -0.8702 -0.7220
-6.0773 -5.5214 -0.8452
-4.3180 0.4327 1.8671
-0.6884 -0.4841 -1.8031
```



[2]
First-principles (GGA-PBEsol) data for crystalline TiAl2O5 at its relaxed geometry, as listed in Alexandria via LeMat-Bulk.

Computed properties:
The value obtained for the raw formation energy is -3.0501 eV per atom. The final energy comes out at -0.308 Ha/atom.

Cell and atoms, written as POSCAR:
```
TiAl2O5
1.0
3.6067 0.0000 0.0000
-1.8034 4.6835 0.0000
0.0000 0.0000 9.6450
Ti Al O
2 4 10
Cartesian
0.0000 1.7356 7.2338
1.8034 2.9479 2.4113
0.0000 1.3184 0.5431
1.8034 3.3651 9.1019
0.0000 1.3184 4.2794
1.8034 3.3651 5.3657
0.0000 2.9259 9.0038
1.8034 1.7576 0.6412
1.8034 1.7576 4.1813
0.0000 2.9259 5.4637
0.0000 0.4181 8.5118
1.8034 4.2654 1.1332
1.8034 2.4840 7.2338
0.0000 2.1996 2.4113
0.0000 0.4181 5.9558
1.8034 4.2654 3.6893
```



[3]
First-principles (GGA-PBEsol) data for crystalline Al2TlO at its relaxed geometry, as listed in Alexandria via LeMat-Bulk.

Computed properties:
The value obtained for the raw formation energy is -0.7264 eV per atom. The final energy comes out at -0.174 Ha/atom.

Cell and atoms, written as POSCAR:
```
Al2TlO
1.0
-2.9452 3.0851 -2.6405
0.2991 -3.0882 -3.9418
-3.1881 -2.7518 5.1059
Tl Al O
2 4 2
Cartesian
-2.1060 -2.9207 -1.0635
0.0000 0.0000 0.0000
-2.1192 -1.7310 -3.5926
-2.7825 0.3513 -2.0823
-2.6731 -2.5669 2.3650
-4.0935 -1.5630 0.3571
-3.7281 0.1659 -0.4129
-1.3230 -0.0015 -3.2911
```



[4]
First-principles (GGA-PBEsol) data for crystalline Al2TlWO at its relaxed geometry, as listed in Alexandria via LeMat-Bulk.

Computed properties:
The value obtained for the raw formation energy is 2.2314 eV per atom. The final energy comes out at -0.138 Ha/atom.

Cell and atoms, written as POSCAR:
```
Al2TlWO
1.0
5.0044 0.0000 0.0000
0.0000 5.0044 0.0000
0.0000 0.0000 5.3360
O Tl Al W
1 1 2 1
Cartesian
2.5022 2.5022 2.6680
0.0000 0.0000 0.0000
0.0000 2.5022 0.0000
2.5022 0.0000 0.0000
0.0000 0.0000 2.6680
```



[5]
First-principles (GGA-PBEsol) data for crystalline TmAlO3 at its relaxed geometry, as listed in Alexandria via LeMat-Bulk.

Computed properties:
The value obtained for the raw formation energy is -3.3588 eV per atom. The final energy comes out at -0.305 Ha/atom.

Cell and atoms, written as POSCAR:
```
TmAlO3
1.0
3.3889 0.0000 0.0000
-1.6944 2.9349 0.0000
0.0000 0.0000 11.3573
Tm Al O
2 2 6
Cartesian
0.0000 0.0000 5.6786
0.0000 0.0000 0.0000
1.6944 0.9783 8.5180
0.0000 1.9566 2.8393
0.0000 1.9566 4.6566
1.6944 0.9783 10.3353
1.6944 0.9783 6.7007
0.0000 1.9566 1.0220
0.0000 0.0000 2.8393
0.0000 0.0000 8.5180
```



[6]
First-principles (GGA-PBEsol) data for crystalline Tm4Al2O9 at its relaxed geometry, as listed in Alexandria via LeMat-Bulk.

Computed properties:
The value obtained for the raw formation energy is -3.4827 eV per atom. The final energy comes out at -0.312 Ha/atom.

Cell and atoms, written as POSCAR:
```
Tm4Al2O9
1.0
-1.7341 6.5578 -2.3548
-9.8728 -2.8055 -0.5425
-0.6180 0.0495 10.9911
Tm Al O
16 8 36
Cartesian
-7.0177 1.7499 1.7840
-5.2072 2.0519 6.3098
-1.9410 2.8675 0.9768
-10.2839 0.9343 7.1170
-6.2825 -1.5684 2.7173
-5.9424 5.3702 5.3765
-2.9650 6.1038 0.0276
-9.2599 -2.3019 8.0662
-3.9923 -0.0061 0.0818
-8.2326 3.8079 8.0120
-10.3495 3.0938 2.3831
-1.8754 0.7080 5.7107
-9.5364 -0.2350 3.2888
-2.6885 4.0368 4.8050
-4.9586 3.2791 -0.8323
-7.2663 0.5227 8.9261
-8.5107 -1.3002 0.3970
-3.7142 5.1020 7.6969
-4.9434 4.6402 2.1168
-7.2815 -0.8383 5.9771
-9.4639 2.3649 -0.7387
-2.7610 1.4369 8.8326
-3.9424 0.9887 3.2551
-8.2825 2.8131 4.8387
-8.5303 1.6938 3.5218
-3.6946 2.1080 4.5720
-3.0730 2.1721 -0.9064
-9.1520 1.6297 9.0002
-7.7570 -1.1479 4.3172
-4.4679 4.9497 3.7766
-3.8287 5.0188 -1.7008
-8.3962 -1.2170 9.7947
-10.2154 -1.5039 0.7330
-2.0095 5.3057 7.3609
-6.4573 3.9293 1.6039
-5.7676 -0.1275 6.4899
-5.8136 1.3409 -0.0963
-6.4113 2.4609 8.1901
-1.3282 3.7928 2.9569
-10.8967 0.0090 5.1370
-8.0001 -0.1576 1.6269
-4.2248 3.9594 6.4670
-3.7878 3.9711 0.9784
-8.4371 -0.1693 7.1154
-8.7816 2.7184 0.8499
-3.4433 1.0834 7.2439
-3.0191 1.0914 1.7547
-9.2058 2.7104 6.3391
-2.9142 -0.2623 3.9405
-9.3107 4.0641 4.1533
-9.1812 3.9884 -1.3521
-3.0438 -0.1866 9.4460
-5.5721 0.5291 2.8926
-6.6528 3.2727 5.2012
-11.1195 1.8909 -0.5568
-1.1054 1.9109 8.6506
-10.1546 -2.3544 3.6111
-2.0703 6.1562 4.4828
-6.5601 4.7678 -1.2765
-5.6648 -0.9660 9.3703
```



[7]
First-principles (GGA-PBEsol) data for crystalline TmAlO3 at its relaxed geometry, as listed in Alexandria via LeMat-Bulk.

Computed properties:
The value obtained for the raw formation energy is -3.4477 eV per atom. The final energy comes out at -0.309 Ha/atom.

Cell and atoms, written as POSCAR:
```
TmAlO3
1.0
5.0926 0.0000 0.0000
0.0000 5.3239 0.0000
0.0000 0.0000 7.2934
Tm Al O
4 4 12
Cartesian
0.0820 4.9859 5.4701
2.4643 2.3239 5.4701
2.6283 2.9999 1.8234
5.0105 0.3380 1.8234
0.0000 2.6619 0.0000
0.0000 2.6619 3.6467
2.5463 0.0000 0.0000
2.5463 0.0000 3.6467
0.4919 2.5108 1.8234
1.0155 1.0687 4.0127
1.0155 1.0687 6.9275
1.5307 3.7306 6.9275
1.5307 3.7306 4.0127
2.0544 5.1727 1.8234
3.0382 0.1511 5.4701
3.5618 1.5933 0.3659
3.5618 1.5933 3.2808
4.0770 4.2552 0.3659
4.0770 4.2552 3.2808
4.6007 2.8131 5.4701
```



What did the fifth record say?
First-principles (GGA-PBEsol) data for crystalline TmAlO3 at its relaxed geometry, as listed in Alexandria via LeMat-Bulk.

Computed properties:
The value obtained for the raw formation energy is -3.3588 eV per atom. The final energy comes out at -0.305 Ha/atom.

Cell and atoms, written as POSCAR:
```
TmAlO3
1.0
3.3889 0.0000 0.0000
-1.6944 2.9349 0.0000
0.0000 0.0000 11.3573
Tm Al O
2 2 6
Cartesian
0.0000 0.0000 5.6786
0.0000 0.0000 0.0000
1.6944 0.9783 8.5180
0.0000 1.9566 2.8393
0.0000 1.9566 4.6566
1.6944 0.9783 10.3353
1.6944 0.9783 6.7007
0.0000 1.9566 1.0220
0.0000 0.0000 2.8393
0.0000 0.0000 8.5180
```